[1]
Here is an optimized crystal structure of LiHf2Rh from Alexandria. Energies are from GGA-PBE.

a b c (Å): 7.4154 7.4154 5.9752
angles (deg): 51.65 51.65 90.00
Closest atoms and distances in Å follow each position.
Sites, in units of the cell vectors:
Hf  0.3750  0.3407  0.7500  2 Rh 2.55
Hf  0.0907  0.6250  0.2500  2 Rh 2.55
Hf  0.6593  0.1250  0.2500  2 Rh 2.55
Hf  0.8750  0.9093  0.7500  2 Rh 2.55
Rh  0.7500  0.2500  0.5000  4 Hf 2.55
Rh  0.0000  0.0000  0.0000  4 Hf 2.55
Li  0.2500  0.7500  0.5000  2 Rh 2.87, 4 Hf 2.90
Li  0.5000  0.5000  0.0000  2 Rh 2.87, 4 Hf 2.90

---

[2]
Here is an optimized crystal structure of NaCaLa2Ni from Alexandria. Energies are from GGA-PBE.

Results
The value obtained for the polymorph energy (0 for the lowest one) is 0.522 eV per formula unit.

a b c (Å): 5.4221 5.4221 5.8787
angles (deg): 90.00 90.00 90.00
Closest atoms and distances in Å follow each position.
Sites, in units of the cell vectors:
Ni  0.0000  0.0000  0.0000  4 La 2.71, 2 Na 2.94
Na  0.0000  0.0000  0.5000  2 Ni 2.94
Ca  0.5000  0.5000  0.5000  4 Na 3.83, 8 La 4.00
La  0.5000  0.0000  0.0000  2 Ni 2.71
La  0.0000  0.5000  0.0000  2 Ni 2.71

---

Let's list energy relative to the elements in order: 0.05; 0.06 eV/atom.